No. 1
This record from the Alexandria database describes a geometry-optimized Pr10Tm4Sc structure. The functional is PBE-GGA.

a b c (Å): 7.820 9.537 9.537
angles (deg): 80.32 65.80 65.80
Fractional positions:
Tm 0.599 0.213 0.588
Tm 0.401 0.787 0.412
Tm 0.813 0.588 0.787
Tm 0.187 0.412 0.213
Sc 0.000 0.000 0.000
Pr 0.151 0.292 0.919
Pr 0.638 0.292 0.919
Pr 0.557 0.081 0.292
Pr 0.362 0.708 0.081
Pr 0.443 0.919 0.708
Pr 0.930 0.919 0.708
Pr 0.250 0.500 0.500
Pr 0.750 0.500 0.500
Pr 0.849 0.708 0.081
Pr 0.070 0.081 0.292

Calculated values
Symmetry = I4/m (87)
V = 592 Å³ per cell
Crystal system = tetragonal
Formation energy = 0.656 eV/atom
Magnetic moment = 0.0 μB per cell

No. 2
This record from the Alexandria database describes a geometry-optimized Pr10TmSc6 structure. The functional is PBE-GGA.

a b c (Å): 6.785 9.619 9.619
angles (deg): 120.00 90.00 90.00
Fractional positions:
Pr 0.823 0.718 0.718
Pr 0.177 0.000 0.718
Pr 0.823 0.282 0.000
Pr 0.500 0.667 0.333
Pr 0.177 0.718 0.000
Pr 0.500 0.333 0.667
Pr 0.000 0.667 0.333
Pr 0.000 0.333 0.667
Pr 0.823 0.000 0.282
Pr 0.177 0.282 0.282
Tm 0.500 0.000 0.000
Sc 0.667 0.000 0.644
Sc 0.333 0.644 0.644
Sc 0.333 0.356 0.000
Sc 0.667 0.356 0.356
Sc 0.667 0.644 0.000
Sc 0.333 0.000 0.356

Calculated values
Symmetry = P-31m (162)
V = 544 Å³ per cell
Crystal system = trigonal
Formation energy = 0.136 eV/atom
Magnetic moment = 0.0 μB per cell

No. 3
This record from the Alexandria database describes a geometry-optimized PrTm8Sc2 structure. The functional is PBE-GGA.

a b c (Å): 5.292 8.050 9.151
angles (deg): 116.09 106.81 90.00
Fractional positions:
Tm 0.356 0.150 0.711
Tm 0.644 0.850 0.289
Tm 0.000 0.700 0.000
Tm 0.000 0.300 0.000
Tm 0.356 0.562 0.711
Tm 0.165 0.165 0.329
Tm 0.644 0.438 0.289
Tm 0.835 0.835 0.671
Pr 0.500 0.000 0.000
Sc 0.800 0.300 0.601
Sc 0.200 0.700 0.399

Calculated values
Symmetry = Immm (71)
V = 331 Å³ per cell
Crystal system = orthorhombic
Formation energy = 0.130 eV/atom
Magnetic moment = 0.0 μB per cell